(1)
This record from OQMD via LeMat-Bulk describes an optimized crystal structure of NaPmNO. The functional is PBE.

Unit cell a=6.796 b=8.380 c=4.860 alpha=90.00 beta=90.00 gamma=90.00
Atoms (fractional coordinates):
Na1 0.091 0.098 0.000
Na2 0.409 0.098 0.500
Na3 0.591 0.902 0.000
Na4 0.909 0.902 0.500
Pm1 0.054 0.646 0.995
Pm2 0.446 0.646 0.495
Pm3 0.554 0.354 0.995
Pm4 0.946 0.354 0.495
N1 0.103 0.611 0.494
N2 0.397 0.611 0.994
N3 0.603 0.389 0.494
N4 0.897 0.389 0.994
O1 0.082 0.127 0.501
O2 0.418 0.127 0.001
O3 0.582 0.873 0.501
O4 0.918 0.873 0.001

Magnetization in μB/f.u.: 0.97
Relative energy among the computed polymorphs in eV/atom: 0.101
DFT total energy in eV/atom: -6.035



(2)
This record from OQMD via LeMat-Bulk describes an optimized crystal structure of SrTlW. The functional is PBE.

Unit cell a=7.121 b=7.121 c=7.121 alpha=90.00 beta=90.00 gamma=90.00
Atoms (fractional coordinates):
Sr1 0.000 0.000 0.000
Sr2 0.000 0.500 0.500
Sr3 0.500 0.000 0.500
Sr4 0.500 0.500 0.000
Tl1 0.000 0.000 0.500
Tl2 0.000 0.500 0.000
Tl3 0.500 0.000 0.000
Tl4 0.500 0.500 0.500
W1 0.250 0.250 0.250
W2 0.250 0.750 0.750
W3 0.750 0.250 0.750
W4 0.750 0.750 0.250

Magnetization in μB/f.u.: 3.00
Relative energy among the computed polymorphs in eV/atom: 0.000
DFT total energy in eV/atom: -4.342



(3)
This record from OQMD via LeMat-Bulk describes an optimized crystal structure of DyHo2Ni2B2C3. The functional is PBE.

Unit cell a=10.472 b=10.472 c=10.472 alpha=160.39 beta=160.39 gamma=27.87
Atoms (fractional coordinates):
Dy1 0.000 0.000 0.000
Ho1 0.377 0.377 0.000
Ho2 0.623 0.623 0.000
Ni1 0.250 0.750 0.500
Ni2 0.750 0.250 0.500
B1 0.196 0.196 0.000
B2 0.804 0.804 0.000
C1 0.123 0.123 0.000
C2 0.500 0.500 0.000
C3 0.877 0.877 0.000

Magnetization in μB/f.u.: 0.00
DFT total energy in eV/atom: -7.023



(4)
This record from OQMD via LeMat-Bulk describes an optimized crystal structure of Nd4C2IBr4. The functional is PBE.

Unit cell a=9.941 b=9.941 c=8.615 alpha=105.13 beta=105.13 gamma=23.06
Atoms (fractional coordinates):
Nd1 0.000 0.000 0.193
Nd2 0.000 0.000 0.807
Nd3 0.342 0.342 0.897
Nd4 0.658 0.658 0.103
C1 0.463 0.463 0.976
C2 0.537 0.537 0.024
I1 0.500 0.500 0.500
Br1 0.161 0.161 0.360
Br2 0.167 0.167 0.844
Br3 0.833 0.833 0.156
Br4 0.839 0.839 0.640

Magnetization in μB/f.u.: 0.01
DFT total energy in eV/atom: -5.463



(5)
This record from OQMD via LeMat-Bulk describes an optimized crystal structure of CsZrCuTe2Se. The functional is PBE.

Unit cell a=8.782 b=8.782 c=10.542 alpha=90.00 beta=90.00 gamma=153.05
Atoms (fractional coordinates):
Cs1 0.236 0.764 0.750
Cs2 0.764 0.236 0.250
Zr1 0.500 0.500 0.000
Zr2 0.500 0.500 0.500
Cu1 0.029 0.971 0.250
Cu2 0.971 0.029 0.750
Te1 0.119 0.881 0.051
Te2 0.119 0.881 0.449
Te3 0.881 0.119 0.551
Te4 0.881 0.119 0.949
Se1 0.448 0.552 0.250
Se2 0.552 0.448 0.750

Magnetization in μB/f.u.: 0.01
DFT total energy in eV/atom: -4.723



(6)
This record from OQMD via LeMat-Bulk describes an optimized crystal structure of NdRe4Si2. The functional is PBE.

Unit cell a=7.351 b=15.453 c=4.166 alpha=90.00 beta=90.00 gamma=90.00
Atoms (fractional coordinates):
Nd1 0.076 0.118 0.000
Nd2 0.424 0.618 0.500
Nd3 0.576 0.382 0.500
Nd4 0.924 0.882 0.000
Re1 0.013 0.706 0.500
Re2 0.067 0.582 0.000
Re3 0.136 0.448 0.500
Re4 0.230 0.321 0.000
Re5 0.270 0.821 0.500
Re6 0.364 0.948 0.000
Re7 0.433 0.082 0.500
Re8 0.487 0.206 0.000
Re9 0.513 0.794 0.000
Re10 0.567 0.918 0.500
Re11 0.636 0.052 0.000
Re12 0.730 0.179 0.500
Re13 0.770 0.679 0.000
Re14 0.864 0.552 0.500
Re15 0.933 0.418 0.000
Re16 0.987 0.294 0.500
Si1 0.172 0.976 0.500
Si2 0.211 0.727 0.000
Si3 0.289 0.227 0.500
Si4 0.328 0.476 0.000
Si5 0.672 0.524 0.000
Si6 0.711 0.773 0.500
Si7 0.789 0.273 0.000
Si8 0.828 0.024 0.500

Magnetization in μB/f.u.: 0.00
DFT total energy in eV/atom: -9.768



(7)
This record from OQMD via LeMat-Bulk describes an optimized crystal structure of La3IrPb. The functional is PBE.

Unit cell a=7.972 b=7.972 c=5.758 alpha=90.00 beta=90.00 gamma=120.00
Atoms (fractional coordinates):
La1 0.115 0.354 0.250
La2 0.240 0.885 0.250
La3 0.354 0.240 0.750
La4 0.646 0.760 0.250
La5 0.760 0.115 0.750
La6 0.885 0.646 0.750
Ir1 0.000 0.000 0.000
Ir2 0.000 0.000 0.500
Pb1 0.333 0.667 0.750
Pb2 0.667 0.333 0.250

Magnetization in μB/f.u.: 0.00
DFT total energy in eV/atom: -6.110



(8)
This record from OQMD via LeMat-Bulk describes an optimized crystal structure of RbNb2PS10. The functional is PBE.

Unit cell a=7.234 b=7.667 c=13.089 alpha=90.00 beta=107.74 gamma=90.00
Atoms (fractional coordinates):
Rb1 0.000 0.007 0.000
Rb2 0.000 0.993 0.500
Nb1 0.540 0.439 0.015
Nb2 0.540 0.561 0.515
Nb3 0.546 0.438 0.726
Nb4 0.546 0.562 0.226
P1 0.395 0.101 0.843
P2 0.395 0.899 0.343
S1 0.196 0.085 0.297
S2 0.196 0.915 0.797
S3 0.277 0.386 0.105
S4 0.277 0.614 0.605
S5 0.287 0.357 0.826
S6 0.287 0.643 0.326
S7 0.288 0.366 0.549
S8 0.288 0.634 0.049
S9 0.539 0.098 0.006
S10 0.539 0.902 0.506
S11 0.585 0.105 0.753
S12 0.585 0.895 0.253
S13 0.606 0.341 0.381
S14 0.606 0.659 0.881
S15 0.796 0.452 0.913
S16 0.796 0.548 0.413
S17 0.802 0.372 0.185
S18 0.802 0.375 0.640
S19 0.802 0.625 0.140
S20 0.802 0.628 0.685

Magnetization in μB/f.u.: 0.00
DFT total energy in eV/atom: -5.569



(9)
This record from OQMD via LeMat-Bulk describes an optimized crystal structure of Pm2FeH6. The functional is PBE.

Unit cell a=5.009 b=5.009 c=5.009 alpha=60.00 beta=60.00 gamma=60.00
Atoms (fractional coordinates):
Pm1 0.250 0.250 0.250
Pm2 0.750 0.750 0.750
Fe1 0.000 0.000 0.000
H1 0.231 0.231 0.769
H2 0.231 0.769 0.231
H3 0.231 0.769 0.769
H4 0.769 0.231 0.231
H5 0.769 0.231 0.769
H6 0.769 0.769 0.231

Magnetization in μB/f.u.: 1.03
DFT total energy in eV/atom: -4.708



(10)
This record from OQMD via LeMat-Bulk describes an optimized crystal structure of Lu2NbTe. The functional is PBE.

Unit cell a=7.157 b=7.157 c=7.157 alpha=90.00 beta=90.00 gamma=90.00
Atoms (fractional coordinates):
Lu1 0.000 0.000 0.000
Lu2 0.000 0.500 0.500
Lu3 0.250 0.250 0.250
Lu4 0.250 0.750 0.750
Lu5 0.500 0.000 0.500
Lu6 0.500 0.500 0.000
Lu7 0.750 0.250 0.750
Lu8 0.750 0.750 0.250
Nb1 0.000 0.000 0.500
Nb2 0.000 0.500 0.000
Nb3 0.500 0.000 0.000
Nb4 0.500 0.500 0.500
Te1 0.250 0.250 0.750
Te2 0.250 0.750 0.250
Te3 0.750 0.250 0.250
Te4 0.750 0.750 0.750

Magnetization in μB/f.u.: 2.02
DFT total energy in eV/atom: -5.473



(11)
This record from OQMD via LeMat-Bulk describes an optimized crystal structure of Mg2AgWN4. The functional is PBE.

Unit cell a=2.978 b=2.978 c=10.852 alpha=90.00 beta=90.00 gamma=120.00
Atoms (fractional coordinates):
Mg1 0.000 0.000 0.247
Mg2 0.000 0.000 0.753
Ag1 0.667 0.333 0.500
W1 0.333 0.667 0.000
N1 0.333 0.667 0.363
N2 0.333 0.667 0.637
N3 0.667 0.333 0.117
N4 0.667 0.333 0.883

Magnetization in μB/f.u.: 0.01
DFT total energy in eV/atom: -6.527



(12)
This record from OQMD via LeMat-Bulk describes an optimized crystal structure of NbFeNiSn. The functional is PBE.

Unit cell a=6.281 b=6.281 c=6.281 alpha=90.00 beta=90.00 gamma=90.00
Atoms (fractional coordinates):
Nb1 0.000 0.000 0.000
Nb2 0.000 0.500 0.500
Nb3 0.500 0.000 0.500
Nb4 0.500 0.500 0.000
Fe1 0.000 0.000 0.500
Fe2 0.000 0.500 0.000
Fe3 0.500 0.000 0.000
Fe4 0.500 0.500 0.500
Ni1 0.250 0.250 0.750
Ni2 0.250 0.750 0.250
Ni3 0.750 0.250 0.250
Ni4 0.750 0.750 0.750
Sn1 0.250 0.250 0.250
Sn2 0.250 0.750 0.750
Sn3 0.750 0.250 0.750
Sn4 0.750 0.750 0.250

Magnetization in μB/f.u.: 1.85
Relative energy among the computed polymorphs in eV/atom: 0.265
DFT total energy in eV/atom: -6.841